A plane-wave DFT calculation with GGA-PBE was carried out for a geometry-optimized PaTl2Zn2O6 structure.

The structure belongs to space group R-3m (No. 166, hexagonal axes); the cell edges are 6.2095, 6.2095 and 17.1219 Å and the angles 90.00°, 90.00° and 120.00°. The asymmetric unit holds Pa at (0.0000, 0.0000, 0.0000), Tl at (0.0000, 0.0000, 0.2090), Zn at (0.0000, 0.0000, 0.4105) and O at (0.0152, 0.5076, 0.7449).

For the magnetic moment, the calculation gives 0.00 μB per formula unit. The calculation puts the total energy at -5.92 eV/atom.